1.
MnAlZn2: optimized geometry, PBE.

As for the formation energy from the elements: 0.0602 eV/atom. The value obtained for the total moment is 2.95 μB per formula unit.

Geometry as POSCAR:
```
MnAlZn2
1.0
-1.360 4.102 -0.053
-2.771 1.318 -3.043
-4.085 0.936 1.057
Mn Zn Al
1 2 1
direct
0.750 0.750 0.750
0.000 0.000 0.000
0.250 0.250 0.250
0.500 0.500 0.500
```

2.
MnAlZn2: optimized geometry, PBE.

As for the formation energy from the elements: -0.0583 eV/atom. The value obtained for the total moment is 2.40 μB per formula unit.

Geometry as POSCAR:
```
MnAlZn2
1.0
4.835 0.006 0.000
1.986 4.408 0.000
-3.410 -2.207 2.622
Al Mn Zn
1 1 2
direct
0.250 0.750 0.500
0.750 0.250 0.500
0.000 0.000 0.000
0.500 0.500 0.000
```

no.,N(E_F) (states/eV/f.u.),energy (eV per atom)
1,2.38,-3.8048
2,2.33,-3.9233